DFT (PBE) results for TmThGe2Rh5 after structural relaxation.

## Properties
Magnetization   0.0 Bohr magnetons per cell
ΔE_f   -835 meV per atom

Cell and atoms, written as CIF:
```
data_TmThGe2Rh5
_symmetry_space_group_name_H-M 'P 1'
_symmetry_Int_Tables_number 1
_cell_length_a 4.197
_cell_length_b 4.197
_cell_length_c 9.045
_cell_angle_alpha 90.00
_cell_angle_beta 90.00
_cell_angle_gamma 90.00
loop_
_symmetry_equiv_pos_as_xyz
'x,y,z'
loop_
_atom_site_label
_atom_site_type_symbol
_atom_site_fract_x
_atom_site_fract_y
_atom_site_fract_z
_atom_site_occupancy
Tm1 Tm 0.000 0.000 0.000 1
Th1 Th 0.000 0.000 0.500 1
Ge1 Ge 0.500 0.500 0.137 1
Ge2 Ge 0.500 0.500 0.863 1
Rh1 Rh 0.000 0.500 0.266 1
Rh2 Rh 0.500 0.000 0.266 1
Rh3 Rh 0.000 0.500 0.734 1
Rh4 Rh 0.500 0.000 0.734 1
Rh5 Rh 0.500 0.500 0.500 1
```